Entry 1:
Entry from Alexandria: a relaxed structure of Si2NiAu (PBE).

Its formation energy (no corrections) is -3.5 kJ/mol of atoms. The total energy comes out at -20.050 eV/cell. For the density of states at the Fermi level, the calculation gives 1.1 states/eV per cell.

a b c (Å): 7.962 7.962 7.962
angles (deg): 21.09 21.09 21.09
Positions (direct):
Si  0.240  0.240  0.240
Si  0.760  0.760  0.760
Ni  0.500  0.500  0.500
Au  0.000  0.000  0.000

=====

Entry 2:
Entry from Alexandria: a relaxed structure of Ac8OsRu3Cl4 (PBE).

Its formation energy (no corrections) is -84.9 kJ/mol of atoms. The total energy comes out at -93.389 eV/cell. For the density of states at the Fermi level, the calculation gives 10.2 states/eV per cell.

a b c (Å): 9.358 9.358 9.358
angles (deg): 54.86 54.86 54.86
Positions (direct):
Ac  0.234  0.234  0.234
Ac  0.234  0.734  0.734
Ac  0.266  0.266  0.766
Ac  0.266  0.766  0.266
Ac  0.734  0.234  0.734
Ac  0.734  0.734  0.234
Ac  0.766  0.266  0.266
Ac  0.766  0.766  0.766
Os  0.500  0.500  0.500
Ru  0.000  0.000  0.500
Ru  0.000  0.500  0.000
Ru  0.500  0.000  0.000
Cl  0.000  0.000  0.000
Cl  0.000  0.500  0.500
Cl  0.500  0.000  0.500
Cl  0.500  0.500  0.000

=====

Entry 3:
Entry from Alexandria: a relaxed structure of TaSI2N (PBE).

Its formation energy (no corrections) is 43.2 kJ/mol of atoms. The total energy comes out at -25.168 eV/cell. The value obtained for the energy above the lowest structure with this stoichiometry is 0.000 eV/atom. For the density of states at the Fermi level, the calculation gives 4.7 states/eV per cell.

a b c (Å): 5.678 5.678 3.911
angles (deg): 90.00 90.00 90.00
Positions (direct):
Ta  0.000  0.000  0.000
S  0.500  0.500  0.500
I  0.000  0.500  0.000
I  0.500  0.000  0.000
N  0.000  0.000  0.500

=====

Entry 4:
Entry from Alexandria: a relaxed structure of LiTaPd2 (PBE).

The value obtained for the formation energy is -0.38 eV per atom. The total energy comes out at -25.681 eV/cell. For the density of states at the Fermi level, the calculation gives 3.1 states/eV per cell.

a b c (Å): 2.913 2.913 7.010
angles (deg): 90.00 90.00 90.00
Positions (direct):
Li  0.000  0.000  0.000
Ta  0.000  0.000  0.500
Pd  0.500  0.500  0.227
Pd  0.500  0.500  0.773

=====

Entry 5:
Entry from Alexandria: a relaxed structure of SmYBe (PBE).

The value obtained for the formation energy is 0.10 eV per atom. The total energy comes out at -14.603 eV/cell. The value obtained for the energy above the lowest structure with this stoichiometry is 0.000 eV/atom. For the density of states at the Fermi level, the calculation gives 3.2 states/eV per cell.

a b c (Å): 6.566 6.566 6.566
angles (deg): 148.96 148.96 44.47
Positions (direct):
Sm  0.000  0.000  0.000
Y  0.731  0.731  0.000
Be  0.359  0.359  0.000

=====

Entry 6:
Entry from Alexandria: a relaxed structure of BeNiIr2 (PBE).

The value obtained for the formation energy is -0.10 eV per atom. The total energy comes out at -27.620 eV/cell. For the density of states at the Fermi level, the calculation gives 6.4 states/eV per cell.

a b c (Å): 8.086 8.086 8.086
angles (deg): 19.18 19.18 19.18
Positions (direct):
Be  0.000  0.000  0.000
Ni  0.500  0.500  0.500
Ir  0.255  0.255  0.255
Ir  0.745  0.745  0.745

=====

Entry 7:
Entry from Alexandria: a relaxed structure of Pr2Ga3PdAu4 (PBE).

The value obtained for the formation energy is -0.61 eV per atom. The total energy comes out at -43.079 eV/cell. For the density of states at the Fermi level, the calculation gives 5.2 states/eV per cell.

a b c (Å): 4.304 4.304 11.368
angles (deg): 90.00 90.00 90.00
Positions (direct):
Pr  0.000  0.500  0.249
Pr  0.500  0.000  0.751
Ga  0.000  0.000  0.000
Ga  0.000  0.500  0.630
Ga  0.500  0.000  0.370
Pd  0.500  0.500  0.000
Au  0.000  0.000  0.500
Au  0.000  0.500  0.852
Au  0.500  0.000  0.148
Au  0.500  0.500  0.500

=====

Entry 8:
Entry from Alexandria: a relaxed structure of ScP2Ir (PBE).

The value obtained for the formation energy is -0.75 eV per atom. The total energy comes out at -29.017 eV/cell. The value obtained for the energy above the lowest structure with this stoichiometry is 0.121 eV/atom. For the density of states at the Fermi level, the calculation gives 1.0 states/eV per cell.

a b c (Å): 5.905 5.905 5.905
angles (deg): 146.44 146.01 48.51
Positions (direct):
Sc  0.000  0.000  0.000
P  0.413  0.413  0.000
P  0.685  0.185  0.500
Ir  0.257  0.757  0.500

=====

Entry 9:
Entry from Alexandria: a relaxed structure of NaLi2PPd (PBE).

The value obtained for the formation energy is -0.42 eV per atom. The total energy comes out at -17.873 eV/cell. For the density of states at the Fermi level, the calculation gives 1.5 states/eV per cell.

a b c (Å): 4.661 4.661 4.604
angles (deg): 90.00 90.00 90.00
Positions (direct):
Na  0.000  0.000  0.000
Li  0.000  0.500  0.500
Li  0.500  0.000  0.500
P  0.500  0.500  0.500
Pd  0.500  0.500  0.000

=====

Entry 10:
Entry from Alexandria: a relaxed structure of TlSn2F4 (PBE).

Its formation energy (no corrections) is -182.3 kJ/mol of atoms. The total energy comes out at -62.166 eV/cell. For the density of states at the Fermi level, the calculation gives 1.3 states/eV per cell.

a b c (Å): 6.346 7.209 8.039
angles (deg): 101.71 112.13 109.12
Positions (direct):
Tl  0.000  0.000  0.000
Tl  0.499  0.837  0.260
Sn  0.186  0.391  0.549
Sn  0.253  0.893  0.644
Sn  0.688  0.440  0.073
Sn  0.695  0.365  0.576
F  0.046  0.453  0.260
F  0.201  0.163  0.762
F  0.322  0.835  0.899
F  0.527  0.253  0.221
F  0.660  0.167  0.887
F  0.830  0.691  0.559
F  0.876  0.562  0.894
F  0.974  0.069  0.348

=====

Entry 11:
Entry from Alexandria: a relaxed structure of LiCdAg2Cl6 (PBE).

Its formation energy (no corrections) is -82.7 kJ/mol of atoms. The total energy comes out at -28.185 eV/cell. For the density of states at the Fermi level, the calculation gives 5.9 states/eV per cell.

a b c (Å): 6.652 6.655 7.193
angles (deg): 90.31 117.22 119.97
Positions (direct):
Li  0.000  0.000  0.000
Cd  0.984  0.494  0.474
Ag  0.599  0.302  0.899
Ag  0.602  0.803  0.402
Cl  0.099  0.896  0.684
Cl  0.100  0.708  0.180
Cl  0.474  0.396  0.180
Cl  0.477  0.586  0.682
Cl  0.786  0.206  0.681
Cl  0.788  0.082  0.181

=====

Entry 12:
Entry from Alexandria: a relaxed structure of TaMo2As (PBE).

The value obtained for the formation energy is 0.01 eV per atom. The total energy comes out at -38.135 eV/cell. For the density of states at the Fermi level, the calculation gives 5.5 states/eV per cell.

a b c (Å): 4.424 4.424 3.283
angles (deg): 90.00 90.00 90.58
Positions (direct):
Ta  0.000  0.000  0.000
Mo  0.000  0.500  0.500
Mo  0.500  0.000  0.500
As  0.500  0.500  0.000